[1]
DFT (PBE) results for a relaxed structure of NdSc5Sb4.

Computed properties:
Total magnetization   0.016 μB/f.u.
Space-group type   Cmmm

Unit cell a=5.6794 b=9.6913 c=10.0762 alpha=90.00 beta=90.00 gamma=90.00
Fractional coordinates of all 20 atoms:
1 Nd 0.0000 0.0000 0.0000
2 Nd 0.0000 0.5000 0.5000
3 Sc 0.2494 0.7501 0.7500
4 Sc 0.2494 0.2499 0.7500
5 Sc 0.4996 0.5000 0.0000
6 Sc 0.2494 0.7501 0.2500
7 Sc 0.2494 0.2499 0.2500
8 Sc 0.7506 0.7499 0.2500
9 Sc 0.7506 0.2501 0.2500
10 Sc 0.5004 0.0000 0.5000
11 Sc 0.7506 0.2501 0.7500
12 Sc 0.7506 0.7499 0.7500
13 Sb 0.9997 0.0000 0.6687
14 Sb 0.5001 0.8076 0.0000
15 Sb 0.5001 0.1924 0.0000
16 Sb 0.9997 0.0000 0.3313
17 Sb 0.0003 0.5000 0.1687
18 Sb 0.4999 0.6924 0.5000
19 Sb 0.4999 0.3076 0.5000
20 Sb 0.0003 0.5000 0.8313


[2]
DFT (PBE) results for a relaxed structure of InHg3P.

Computed properties:
Distance to the lowest polymorph of the same formula   0.0 meV/atom
Total magnetization   0.000 μB/f.u.
E_form   0.290 eV/atom
Space-group type   Pm-3m

Unit cell a=5.2153 b=5.2153 c=5.2153 alpha=90.00 beta=90.00 gamma=90.00
Fractional coordinates of all 5 atoms:
1 P 0.0000 0.0000 0.0000
2 Hg 0.0000 0.5000 0.0000
3 Hg 0.0000 0.0000 0.5000
4 Hg 0.5000 0.0000 0.0000
5 In 0.5000 0.5000 0.5000


[3]
DFT (PBE) results for a relaxed structure of Pr2BiC2.

Computed properties:
Total magnetization   0.000 μB/f.u.
E_form   -0.384 eV/atom
Space-group type   C2/c

Unit cell a=4.7477 b=6.5523 c=7.9603 alpha=89.69 beta=107.35 gamma=90.00
Fractional coordinates of all 10 atoms:
1 Pr 0.8800 0.1852 0.3043
2 Pr 0.4243 0.6852 0.3043
3 Pr 0.1200 0.8148 0.6957
4 Pr 0.5757 0.3148 0.6957
5 Bi 0.7767 0.7500 0.0000
6 Bi 0.2233 0.2500 0.0000
7 C 0.8822 0.4787 0.5247
8 C 0.3575 0.0213 0.4753
9 C 0.1178 0.5213 0.4753
10 C 0.6425 0.9787 0.5247


[4]
DFT (PBE) results for a relaxed structure of Sm5In2Ga2.

Computed properties:
Total magnetization   0.000 μB/f.u.
E_form   -0.453 eV/atom
Space-group type   Cmce

Unit cell a=7.8086 b=7.9950 c=9.1355 alpha=115.95 beta=90.00 gamma=90.00
Fractional coordinates of all 18 atoms:
1 Sm 0.0000 0.0000 0.0000
2 Sm 0.5000 0.5000 0.0000
3 Sm 0.8197 0.8216 0.2615
4 Sm 0.1803 0.4400 0.2615
5 Sm 0.3197 0.9400 0.2615
6 Sm 0.6803 0.3216 0.2615
7 Sm 0.1803 0.1784 0.7385
8 Sm 0.8197 0.5600 0.7385
9 Sm 0.6803 0.0600 0.7385
10 Sm 0.3197 0.6784 0.7385
11 In 0.0000 0.2215 0.4429
12 In 0.5000 0.7215 0.4429
13 In 0.0000 0.7785 0.5571
14 In 0.5000 0.2785 0.5571
15 Ga 0.6159 0.8854 0.0000
16 Ga 0.3841 0.1146 0.0000
17 Ga 0.1159 0.6146 0.0000
18 Ga 0.8841 0.3854 0.0000


[5]
DFT (PBE) results for a relaxed structure of HfPd2Br.

Computed properties:
Distance to the lowest polymorph of the same formula   166.3 meV/atom
Total magnetization   0.000 μB/f.u.
Space-group type   Fm-3m

Unit cell a=4.7278 b=4.7278 c=4.7278 alpha=60.00 beta=60.00 gamma=60.00
Fractional coordinates of all 4 atoms:
1 Hf 0.5000 0.5000 0.5000
2 Br 0.0000 0.0000 0.0000
3 Pd 0.2500 0.2500 0.2500
4 Pd 0.7500 0.7500 0.7500


[6]
DFT (PBE) results for a relaxed structure of Cs3TbSb2Se6.

Computed properties:
Total magnetization   0.000 μB/f.u.
Space-group type   C2/m

Unit cell a=7.4698 b=7.4698 c=8.6986 alpha=98.22 beta=98.22 gamma=120.00
Fractional coordinates of all 12 atoms:
1 Cs 0.1678 0.8322 0.5000
2 Cs 0.8322 0.1678 0.5000
3 Cs 0.5000 0.5000 0.5000
4 Tb 0.0000 0.0000 0.0000
5 Sb 0.3335 0.6665 0.0000
6 Sb 0.6665 0.3335 0.0000
7 Se 0.9380 0.6060 0.8140
8 Se 0.7299 0.7299 0.1862
9 Se 0.0620 0.3940 0.1860
10 Se 0.6060 0.9380 0.8140
11 Se 0.2701 0.2701 0.8138
12 Se 0.3940 0.0620 0.1860


[7]
DFT (PBE) results for a relaxed structure of Pm8Ge2Sb.

Computed properties:
Total magnetization   0.000 μB/f.u.
Space-group type   C2/m

Unit cell a=4.7672 b=7.2225 c=10.2482 alpha=101.98 beta=103.45 gamma=90.00
Fractional coordinates of all 11 atoms:
1 Pm 0.4019 0.5266 0.8037
2 Pm 0.6670 0.0026 0.3341
3 Pm 0.7846 0.6551 0.5691
4 Pm 0.9663 0.2385 0.9325
5 Pm 0.2154 0.3449 0.4309
6 Pm 0.3330 0.9974 0.6659
7 Pm 0.5981 0.4734 0.1963
8 Pm 0.0337 0.7615 0.0675
9 Ge 0.8141 0.2472 0.6282
10 Ge 0.1859 0.7528 0.3718
11 Sb 0.5000 0.0000 0.0000


[8]
DFT (PBE) results for a relaxed structure of RbLaTe3.

Computed properties:
Distance to the lowest polymorph of the same formula   1033.2 meV/atom
Total magnetization   0.000 μB/f.u.
Space-group type   Pm-3m

Unit cell a=5.9382 b=5.9382 c=5.9382 alpha=90.00 beta=90.00 gamma=90.00
Fractional coordinates of all 5 atoms:
1 Te 0.0000 0.5000 0.0000
2 Te 0.0000 0.0000 0.5000
3 Te 0.5000 0.0000 0.0000
4 Rb 0.0000 0.0000 0.0000
5 La 0.5000 0.5000 0.5000


Number 1: raw total energy -5.850 eV/atom. Number 2: raw total energy -1.521 eV/atom. Number 3: raw total energy -6.762 eV/atom. Number 4: raw total energy -4.356 eV/atom. Number 5: raw total energy -5.544 eV/atom. Number 6: raw total energy -4.052 eV/atom. Number 7: raw total energy -5.133 eV/atom. Number 8: raw total energy -2.863 eV/atom.